1.
Computed, not measured: an optimized crystal structure of La3SiCl3 at the PBE level of DFT.

Cell lengths 10.3943, 10.3943, 10.3943 Å; angles 109.47, 109.47, 109.47 degrees
Atoms (fractional coordinates):
1 La 0.4878 0.4939 0.2439
2 La 0.7500 0.2439 0.2561
3 La 0.7500 0.0061 0.4939
4 La 0.2439 0.4878 0.4939
5 La 0.2561 0.7500 0.2439
6 La 0.0122 0.2561 0.0061
7 La 0.0061 0.0122 0.2561
8 La 0.4939 0.7500 0.0061
9 La 0.4939 0.2439 0.4878
10 La 0.0061 0.4939 0.7500
11 La 0.2561 0.0061 0.0122
12 La 0.2439 0.2561 0.7500
13 Si 0.2500 0.2500 0.2500
14 Si 0.5000 0.0000 0.2500
15 Si 0.0000 0.2500 0.5000
16 Si 0.2500 0.5000 0.0000
17 Cl 0.2500 0.7494 0.7506
18 Cl 0.4988 0.4994 0.7494
19 Cl 0.0012 0.7506 0.0006
20 Cl 0.7506 0.2500 0.7494
21 Cl 0.0006 0.0012 0.7506
22 Cl 0.2500 0.0006 0.4994
23 Cl 0.7494 0.4988 0.4994
24 Cl 0.4994 0.2500 0.0006
25 Cl 0.7494 0.7506 0.2500
26 Cl 0.7506 0.0006 0.0012
27 Cl 0.0006 0.4994 0.2500
28 Cl 0.4994 0.7494 0.4988

Values from the calculation:
Its volume is 30.87 A^3/atom.



2.
Computed, not measured: an optimized crystal structure of LaSiCl2 at the PBE level of DFT.

Cell lengths 3.5646, 3.5646, 9.6444 Å; angles 90.00, 90.00, 121.15 degrees
Atoms (fractional coordinates):
1 Cl 0.0000 0.0000 0.0142
2 Cl 0.0000 0.0000 0.4858
3 La 0.5000 0.5000 0.2500
4 Si 0.5000 0.5000 0.7500

Values from the calculation:
Its volume is 26.22 A^3/atom. For the energy above the lowest structure with this stoichiometry, the calculation gives 538 meV/atom.



3.
Computed, not measured: an optimized crystal structure of LaSiCl2 at the PBE level of DFT.

Cell lengths 10.0918, 10.0918, 10.0918 Å; angles 20.39, 20.39, 20.39 degrees
Last column: magnetic moment on the atom in μB.
Atoms (fractional coordinates):
1 Cl 0.0236 0.0236 0.0236  0.01
2 Cl 0.2306 0.2306 0.2306  0.00
3 La 0.4971 0.4971 0.4971  0.10
4 Si 0.7488 0.7488 0.7488  0.01

Values from the calculation:
Its volume is 27.30 A^3/atom. For the energy above the lowest structure with this stoichiometry, the calculation gives 465 meV/atom.



4.
Computed, not measured: an optimized crystal structure of La5Si2Cl2 at the PBE level of DFT.

Cell lengths 7.9743, 7.9649, 8.6137 Å; angles 90.00, 62.43, 90.00 degrees
Atoms (fractional coordinates):
1 La 0.0000 0.0000 0.0000
2 La 0.5000 0.5000 0.0000
3 La 0.4644 0.1627 0.7328
4 La 0.8028 0.8373 0.7328
5 La 0.3028 0.6627 0.7328
6 La 0.9644 0.3373 0.7328
7 La 0.5356 0.8373 0.2672
8 La 0.1972 0.1627 0.2672
9 La 0.6972 0.3373 0.2672
10 La 0.0356 0.6627 0.2672
11 Si 0.1254 0.3749 0.0000
12 Si 0.8746 0.6251 0.0000
13 Si 0.3746 0.8749 0.0000
14 Si 0.6254 0.1251 0.0000
15 Cl 0.1941 0.0000 0.6118
16 Cl 0.6941 0.5000 0.6118
17 Cl 0.8059 0.0000 0.3882
18 Cl 0.3059 0.5000 0.3882

Values from the calculation:
Its volume is 26.94 A^3/atom.



Number 1: DFT total energy -37.67 eV per formula unit. Number 2: DFT total energy -16.38 eV per formula unit. Number 3: DFT total energy -16.67 eV per formula unit. Number 4: DFT total energy -48.27 eV per formula unit.